No. 1
Entry from Alexandria via LeMat-Bulk: a geometry-optimized TaTeSe structure (PBE-GGA).

## Properties
* space-group type: F-43m, No. 216
* magnetic moment: 0.0 μB/f.u.
* energy relative to the elements, uncorrected: 0.734 eV per atom
* offset from the most stable computed form: 1.2888 eV per atom
* crystal system: cubic

Unit cell a=4.6211 b=4.6211 c=4.6211 alpha=60.00 beta=60.00 gamma=60.00
Fractional coordinates of all 3 atoms:
Ta1 0.0000 0.0000 0.0000
Te1 0.5000 0.5000 0.5000
Se1 0.7500 0.7500 0.7500

***

No. 2
Entry from Alexandria via LeMat-Bulk: a geometry-optimized YSc2N3 structure (PBE-GGA).

## Properties
* space-group type: Immm, No. 71
* magnetic moment: 0.0 μB/f.u.
* energy relative to the elements, uncorrected: -1.783 eV per atom
* crystal system: orthorhombic

Unit cell a=5.7111 b=5.7111 c=5.7111 alpha=146.55 beta=131.58 gamma=60.13
Fractional coordinates of all 6 atoms:
Y1 0.0000 0.0000 0.0000
Sc1 0.3315 0.3315 0.0000
Sc2 0.6685 0.6685 0.0000
N1 0.1763 0.6763 0.5000
N2 0.5000 0.0000 0.5000
N3 0.8237 0.3237 0.5000

***

No. 3
Entry from Alexandria via LeMat-Bulk: a geometry-optimized Mg2AlI structure (PBE-GGA).

## Properties
* space-group type: I-42d, No. 122
* magnetic moment: 0.0 μB/f.u.
* energy relative to the elements, uncorrected: 0.154 eV per atom
* offset from the most stable computed form: 0.0000 eV per atom
* crystal system: tetragonal

Unit cell a=7.4840 b=7.4840 c=7.4840 alpha=122.12 beta=122.12 gamma=86.37
Fractional coordinates of all 8 atoms:
Mg1 0.0970 0.6250 0.9720
Mg2 0.3750 0.3470 0.4720
Mg3 0.6530 0.1250 0.0280
Mg4 0.8750 0.9030 0.5280
Al1 0.0000 0.0000 0.0000
Al2 0.7500 0.2500 0.5000
I1 0.2500 0.7500 0.5000
I2 0.5000 0.5000 0.0000

***

No. 4
Entry from Alexandria via LeMat-Bulk: a geometry-optimized Fe2GeAs2 structure (PBE-GGA).

## Properties
* space-group type: P4/mbm, No. 127
* E_form: 0.168 eV per atom
* magnetic moment: 0.0 μB/f.u.
* offset from the most stable computed form: 0.0000 eV per atom
* crystal system: tetragonal

Unit cell a=7.0645 b=7.0645 c=2.7997 alpha=90.00 beta=90.00 gamma=90.00
Fractional coordinates of all 10 atoms:
Fe1 0.1420 0.3580 0.0000
Fe2 0.3580 0.8580 0.0000
Fe3 0.6420 0.1420 0.0000
Fe4 0.8580 0.6420 0.0000
Ge1 0.0000 0.0000 0.0000
Ge2 0.5000 0.5000 0.0000
As1 0.1481 0.6481 0.5000
As2 0.3519 0.1481 0.5000
As3 0.6481 0.8519 0.5000
As4 0.8519 0.3519 0.5000

***

No. 5
Entry from Alexandria via LeMat-Bulk: a geometry-optimized ZrCd2Se structure (PBE-GGA).

## Properties
* space-group type: I-4m2, No. 119
* magnetic moment: 0.0 μB/f.u.
* energy relative to the elements, uncorrected: -0.223 eV per atom
* crystal system: tetragonal

Unit cell a=5.4679 b=5.4679 c=5.4679 alpha=133.25 beta=133.25 gamma=68.26
Fractional coordinates of all 4 atoms:
Zr1 0.0000 0.0000 0.0000
Cd1 0.2500 0.7500 0.5000
Cd2 0.5000 0.5000 0.0000
Se1 0.7500 0.2500 0.5000

***

No. 6
Entry from Alexandria via LeMat-Bulk: a geometry-optimized ZrMoP2 structure (PBE-GGA).

## Properties
* space-group type: Pm, No. 6
* E_form: -0.699 eV per atom
* magnetic moment: 0.0 μB/f.u.
* offset from the most stable computed form: 0.2301 eV per atom
* crystal system: monoclinic

Unit cell a=3.2201 b=4.3772 c=4.7609 alpha=90.00 beta=108.93 gamma=90.00
Fractional coordinates of all 4 atoms:
Zr1 0.0000 0.0000 0.0000
Mo1 0.7340 0.5000 0.4892
P1 0.3023 0.0000 0.5533
P2 0.4451 0.5000 0.9179

***

No. 7
Entry from Alexandria via LeMat-Bulk: a geometry-optimized Pm3Nd5 structure (PBE-GGA).

## Properties
* space-group type: P4/mmm, No. 123
* E_form: 0.014 eV per atom
* magnetic moment: 0.0 μB/f.u.
* crystal system: tetragonal

Unit cell a=3.6721 b=3.6721 c=20.7759 alpha=90.00 beta=90.00 gamma=90.00
Fractional coordinates of all 8 atoms:
Pm1 0.0000 0.0000 0.0000
Pm2 0.5000 0.5000 0.3752
Pm3 0.5000 0.5000 0.6248
Nd1 0.0000 0.0000 0.2504
Nd2 0.0000 0.0000 0.5000
Nd3 0.0000 0.0000 0.7496
Nd4 0.5000 0.5000 0.1247
Nd5 0.5000 0.5000 0.8753

***

No. 8
Entry from Alexandria via LeMat-Bulk: a geometry-optimized TcHS2 structure (PBE-GGA).

## Properties
* space-group type: R-3m, No. 166
* magnetic moment: 1.8 μB/f.u.
* offset from the most stable computed form: 0.0205 eV per atom
* crystal system: trigonal

Unit cell a=6.2443 b=6.2443 c=6.2443 alpha=32.74 beta=32.74 gamma=32.74
Fractional coordinates of all 4 atoms:
Tc1 0.0000 0.0000 0.0000
H1 0.5000 0.5000 0.5000
S1 0.4078 0.4078 0.4078
S2 0.5922 0.5922 0.5922

***

No. 9
Entry from Alexandria via LeMat-Bulk: a geometry-optimized Er4RuBr5 structure (PBE-GGA).

## Properties
* space-group type: C2/m, No. 12
* magnetic moment: 0.0 μB/f.u.
* energy relative to the elements, uncorrected: -1.327 eV per atom
* crystal system: monoclinic

Unit cell a=9.4779 b=9.4779 c=8.5973 alpha=102.34 beta=102.34 gamma=23.96
Fractional coordinates of all 10 atoms:
Er1 0.0025 0.0025 0.2157
Er2 0.3554 0.3554 0.9263
Er3 0.6446 0.6446 0.0737
Er4 0.9975 0.9975 0.7843
Ru1 0.5000 0.5000 0.0000
Br1 0.1686 0.1686 0.3279
Br2 0.1798 0.1798 0.8464
Br3 0.5000 0.5000 0.5000
Br4 0.8202 0.8202 0.1536
Br5 0.8314 0.8314 0.6721

***

No. 10
Entry from Alexandria via LeMat-Bulk: a geometry-optimized Ce2Pr2Se5 structure (PBE-GGA).

## Properties
* space-group type: Cmce, No. 64
* magnetic moment: 3.4 μB/f.u.
* energy relative to the elements, uncorrected: -1.778 eV per atom
* crystal system: orthorhombic

Unit cell a=8.4864 b=8.4864 c=7.9971 alpha=90.00 beta=90.00 gamma=56.22
Fractional coordinates of all 18 atoms:
Ce1 0.1971 0.1971 0.0000
Ce2 0.3029 0.3029 0.5000
Ce3 0.6971 0.6971 0.5000
Ce4 0.8029 0.8029 0.0000
Pr1 0.1531 0.8469 0.6559
Pr2 0.3469 0.6531 0.1559
Pr3 0.6531 0.3469 0.8441
Pr4 0.8469 0.1531 0.3441
Se1 0.0000 0.0000 0.0000
Se2 0.0193 0.7010 0.3470
Se3 0.2010 0.5193 0.8470
Se4 0.2990 0.9807 0.3470
Se5 0.4807 0.7990 0.8470
Se6 0.5000 0.5000 0.5000
Se7 0.5193 0.2010 0.1530
Se8 0.7010 0.0193 0.6530
Se9 0.7990 0.4807 0.1530
Se10 0.9807 0.2990 0.6530

***

No. 11
Entry from Alexandria via LeMat-Bulk: a geometry-optimized KZrGe2Pd structure (PBE-GGA).

## Properties
* space-group type: P4/mmm, No. 123
* E_form: 0.413 eV per atom
* magnetic moment: 1.3 μB/f.u.
* crystal system: tetragonal

Unit cell a=4.9918 b=4.9918 c=5.2248 alpha=90.00 beta=90.00 gamma=90.00
Fractional coordinates of all 5 atoms:
K1 0.0000 0.0000 0.0000
Zr1 0.5000 0.5000 0.0000
Ge1 0.0000 0.5000 0.5000
Ge2 0.5000 0.0000 0.5000
Pd1 0.5000 0.5000 0.5000

***

No. 12
Entry from Alexandria via LeMat-Bulk: a geometry-optimized SrCaCl2 structure (PBE-GGA).

## Properties
* space-group type: R-3m, No. 166
* magnetic moment: 0.0 μB/f.u.
* energy relative to the elements, uncorrected: -1.658 eV per atom
* offset from the most stable computed form: 0.0303 eV per atom
* crystal system: trigonal

Unit cell a=8.3686 b=8.3686 c=8.3686 alpha=32.46 beta=32.46 gamma=32.46
Fractional coordinates of all 4 atoms:
Sr1 0.0000 0.0000 0.0000
Ca1 0.5000 0.5000 0.5000
Cl1 0.3831 0.3831 0.3831
Cl2 0.6169 0.6169 0.6169

***

No. 13
Entry from Alexandria via LeMat-Bulk: a geometry-optimized Si3TeAu structure (PBE-GGA).

## Properties
* space-group type: Pm-3m, No. 221
* magnetic moment: 0.0 μB/f.u.
* energy relative to the elements, uncorrected: 0.778 eV per atom
* offset from the most stable computed form: 0.0000 eV per atom
* crystal system: cubic

Unit cell a=4.9052 b=4.9052 c=4.9052 alpha=90.00 beta=90.00 gamma=90.00
Fractional coordinates of all 5 atoms:
Si1 0.0000 0.0000 0.5000
Si2 0.0000 0.5000 0.0000
Si3 0.5000 0.0000 0.0000
Te1 0.5000 0.5000 0.5000
Au1 0.0000 0.0000 0.0000

***

No. 14
Entry from Alexandria via LeMat-Bulk: a geometry-optimized CaAl2CuAu5 structure (PBE-GGA).

## Properties
* space-group type: Immm, No. 71
* E_form: -0.287 eV per atom
* magnetic moment: 0.0 μB/f.u.
* crystal system: orthorhombic

Unit cell a=7.7643 b=7.7643 c=7.7643 alpha=144.23 beta=136.11 gamma=57.86
Fractional coordinates of all 9 atoms:
Ca1 0.0000 0.0000 0.0000
Al1 0.3146 0.8146 0.5000
Al2 0.6854 0.1854 0.5000
Cu1 0.5000 0.5000 0.0000
Au1 0.0875 0.3384 0.7492
Au2 0.4108 0.6616 0.7492
Au3 0.5000 0.0000 0.5000
Au4 0.5892 0.3384 0.2508
Au5 0.9125 0.6616 0.2508

***

No. 15
Entry from Alexandria via LeMat-Bulk: a geometry-optimized Tm5Te5Pd structure (PBE-GGA).

## Properties
* space-group type: C2/m, No. 12
* magnetic moment: 0.0 μB/f.u.
* energy relative to the elements, uncorrected: -1.173 eV per atom
* crystal system: monoclinic

Unit cell a=7.4645 b=7.4645 c=8.4933 alpha=107.23 beta=107.23 gamma=48.01
Fractional coordinates of all 11 atoms:
Tm1 0.0000 0.0000 0.0000
Tm2 0.3472 0.3472 0.6856
Tm3 0.3487 0.3487 0.1549
Tm4 0.6513 0.6513 0.8451
Tm5 0.6528 0.6528 0.3144
Te1 0.1668 0.1668 0.8272
Te2 0.1822 0.1822 0.3336
Te3 0.5000 0.5000 0.5000
Te4 0.8178 0.8178 0.6664
Te5 0.8332 0.8332 0.1728
Pd1 0.5000 0.5000 0.0000

***

No. 16
Entry from Alexandria via LeMat-Bulk: a geometry-optimized CsMg2TlNi structure (PBE-GGA).

## Properties
* space-group type: P4/mmm, No. 123
* E_form: 0.084 eV per atom
* magnetic moment: 0.0 μB/f.u.
* crystal system: tetragonal

Unit cell a=5.2530 b=5.2530 c=5.1971 alpha=90.00 beta=90.00 gamma=90.00
Fractional coordinates of all 5 atoms:
Cs1 0.0000 0.0000 0.0000
Mg1 0.0000 0.5000 0.5000
Mg2 0.5000 0.0000 0.5000
Tl1 0.5000 0.5000 0.0000
Ni1 0.5000 0.5000 0.5000

***

No. 17
Entry from Alexandria via LeMat-Bulk: a geometry-optimized NiRuSe structure (PBE-GGA).

## Properties
* space-group type: F-43m, No. 216
* magnetic moment: 0.0 μB/f.u.
* energy relative to the elements, uncorrected: 0.184 eV per atom
* offset from the most stable computed form: 0.0322 eV per atom
* crystal system: cubic

Unit cell a=4.0795 b=4.0795 c=4.0795 alpha=60.00 beta=60.00 gamma=60.00
Fractional coordinates of all 3 atoms:
Ni1 0.0000 0.0000 0.0000
Ru1 0.2500 0.2500 0.2500
Se1 0.5000 0.5000 0.5000

***

No. 18
Entry from Alexandria via LeMat-Bulk: a geometry-optimized Pm4PIrS2 structure (PBE-GGA).

## Properties
* space-group type: Fmm2, No. 42
* magnetic moment: 0.0 μB/f.u.
* energy relative to the elements, uncorrected: -1.501 eV per atom
* crystal system: orthorhombic

Unit cell a=7.1158 b=5.7841 c=7.1159 alpha=66.02 beta=47.96 gamma=66.02
Fractional coordinates of all 8 atoms:
Pm1 0.2491 0.7509 0.2491
Pm2 0.5002 0.9990 0.4998
Pm3 0.7509 0.2491 0.7509
Pm4 0.9990 0.5002 0.0010
P1 0.0000 0.0000 0.0000
Ir1 0.4992 0.4992 0.5008
S1 0.2499 0.2499 0.2501
S2 0.7499 0.7499 0.7501

***

No. 19
Entry from Alexandria via LeMat-Bulk: a geometry-optimized Rb2Hg3Bi4Pb structure (PBE-GGA).

## Properties
* space-group type: P-4m2, No. 115
* E_form: -0.157 eV per atom
* magnetic moment: 0.0 μB/f.u.
* crystal system: tetragonal

Unit cell a=5.1023 b=5.1023 c=13.8953 alpha=90.00 beta=90.00 gamma=90.00
Fractional coordinates of all 10 atoms:
Rb1 0.0000 0.5000 0.2442
Rb2 0.5000 0.0000 0.7558
Hg1 0.0000 0.5000 0.8578
Hg2 0.5000 0.0000 0.1422
Hg3 0.5000 0.5000 0.5000
Bi1 0.0000 0.0000 0.0000
Bi2 0.0000 0.5000 0.6375
Bi3 0.5000 0.0000 0.3625
Bi4 0.5000 0.5000 0.0000
Pb1 0.0000 0.0000 0.5000

***

No. 20
Entry from Alexandria via LeMat-Bulk: a geometry-optimized NbSnRuRh structure (PBE-GGA).

## Properties
* space-group type: I-4m2, No. 119
* E_form: -0.371 eV per atom
* magnetic moment: 0.0 μB/f.u.
* crystal system: tetragonal

Unit cell a=4.7681 b=4.7681 c=4.7681 alpha=127.74 beta=127.74 gamma=77.04
Fractional coordinates of all 4 atoms:
Nb1 0.0000 0.0000 0.0000
Sn1 0.5000 0.5000 0.0000
Ru1 0.7500 0.2500 0.5000
Rh1 0.2500 0.7500 0.5000